MgMnGe2O6 PBE with a Hubbard U relaxed; crystal system = monoclinic; electronic total energy = -6.7205 eV/atom; magnetic moment = 10.00 μB/cell
1.0
4.925 -4.657 0.000
4.925 4.657 0.000
-0.973 0.000 5.177
Mg Mn Ge O
2 2 4 12
direct
0.227 0.773 0.750
0.773 0.227 0.250
0.404 0.596 0.250
0.596 0.404 0.750
0.106 0.292 0.785
0.292 0.106 0.285
0.708 0.894 0.715
0.894 0.708 0.215
0.073 0.211 0.095
0.119 0.651 0.389
0.211 0.073 0.595
0.284 0.478 0.857
0.349 0.881 0.111
0.478 0.284 0.357
0.522 0.716 0.643
0.651 0.119 0.889
0.716 0.522 0.143
0.789 0.927 0.405
0.881 0.349 0.611
0.927 0.789 0.905